# 1
Crystalline AcSe3 at its relaxed geometry. Source: the Alexandria database, functional PBE.

Formation energy without anion corrections in eV per formula unit: -3.9
Calculated density in g/cm3: 7.7
SG: Pm-3m (221)
Calculated volume in Å³/atom: 25.167

a b c (Å): 4.6519 4.6519 4.6519
angles (deg): 90.00 90.00 90.00
Last column: nearest neighbours and their distance in Å.
Fractional coordinates of all 4 atoms:
Se 0.5000 0.0000 0.5000  4 Ac 3.29, 8 Se 3.29
Ac 0.0000 0.0000 0.0000  12 Se 3.29
Se 0.0000 0.5000 0.5000  4 Ac 3.29, 8 Se 3.29
Se 0.5000 0.5000 0.0000  4 Ac 3.29, 8 Se 3.29

# 2
Crystalline Ac2Se3 at its relaxed geometry. Source: the Alexandria database, functional PBE.

Formation energy without anion corrections in eV per formula unit: -8.9
Calculated density in g/cm3: 7.8
SG: I4/mmm (139)
Calculated volume in Å³/atom: 29.574

a b c (Å): 4.0797 4.0797 9.3410
angles (deg): 102.61 102.61 90.00
Last column: nearest neighbours and their distance in Å.
Fractional coordinates of all 5 atoms:
Ac 0.6234 0.6234 0.2467  5 Se 3.15-3.25
Se 0.8061 0.8061 0.6121  5 Ac 3.15-3.25, 5 Se 3.45-3.51
Se 0.1939 0.1939 0.3879  5 Ac 3.15-3.25, 5 Se 3.45-3.51
Se 0.0000 0.0000 0.0000  2 Se 3.45, 8 Ac 3.62
Ac 0.3766 0.3766 0.7533  5 Se 3.15-3.25

# 3
Crystalline AcSe3 at its relaxed geometry. Source: the Alexandria database, functional PBE.

Formation energy without anion corrections in eV per formula unit: -4.2
Calculated density in g/cm3: 7.5
SG: I4/mmm (139)
Calculated volume in Å³/atom: 25.668

a b c (Å): 4.3403 4.3403 6.2550
angles (deg): 110.30 110.30 90.00
Last column: nearest neighbours and their distance in Å.
Fractional coordinates of all 4 atoms:
Ac 0.0000 0.0000 0.0000  4 Se 3.07
Se 0.2500 0.7500 0.5000  4 Se 3.07
Se 0.7500 0.2500 0.5000  4 Se 3.07
Se 0.5000 0.5000 0.0000  4 Ac 3.07

# 4
Crystalline AcSe5 at its relaxed geometry. Source: the Alexandria database, functional PBE.

Formation energy without anion corrections in eV per formula unit: -3.1
Calculated density in g/cm3: 6.4
SG: Cmmm (65)
Calculated volume in Å³/atom: 26.793

a b c (Å): 4.1872 4.1936 9.3922
angles (deg): 102.90 90.00 90.00
Last column: nearest neighbours and their distance in Å.
Fractional coordinates of all 6 atoms:
Se 0.5000 0.1478 0.2955  4 Se 2.96
Se 0.0000 0.3522 0.7043  4 Se 2.96
Ac 0.0000 0.0000 0.0000  4 Se 2.96
Se 0.0000 0.6478 0.2957  4 Se 2.96
Se 0.5000 0.5000 0.0000  4 Ac 2.96
Se 0.5000 0.8522 0.7045  4 Se 2.96

# 5
Crystalline AcSe2 at its relaxed geometry. Source: the Alexandria database, functional PBE.

Formation energy without anion corrections in eV per formula unit: -5.3
ΔE to the lowest computed polymorph in eV/atom: 0.000
Calculated density in g/cm3: 7.4
SG: P2_1/c (14)
Calculated volume in Å³/atom: 28.792

a b c (Å): 4.4116 8.7855 8.9144
angles (deg): 89.91 90.00 90.00
Last column: nearest neighbours and their distance in Å.
Fractional coordinates of all 12 atoms:
Se 0.3281 0.1152 0.9982  1 Se 2.53
Ac 0.7218 0.6275 0.7231  9 Se 3.12-3.45
Se 0.1719 0.6152 0.9982  1 Se 2.53
Se 0.7424 0.6253 0.3654  5 Ac 3.12-3.34
Se 0.6719 0.8848 0.0018  1 Se 2.53
Ac 0.2218 0.8725 0.2769  9 Se 3.12-3.45
Se 0.7576 0.1253 0.3654  5 Ac 3.12-3.34
Se 0.8281 0.3849 0.0018  1 Se 2.53
Se 0.2576 0.3747 0.6346  5 Ac 3.12-3.34
Ac 0.7782 0.1275 0.7231  9 Se 3.12-3.45
Se 0.2424 0.8747 0.6346  5 Ac 3.12-3.34
Ac 0.2782 0.3725 0.2769  9 Se 3.12-3.45

# 6
Crystalline AcSe3 at its relaxed geometry. Source: the Alexandria database, functional PBE.

Formation energy without anion corrections in eV per formula unit: -4.2
Calculated density in g/cm3: 7.4
SG: P6_3/mmc (194)
Calculated volume in Å³/atom: 25.927

a b c (Å): 6.2602 6.2602 6.1115
angles (deg): 90.00 90.00 120.00
Last column: nearest neighbours and their distance in Å.
Fractional coordinates of all 8 atoms:
Se 0.1738 0.8262 0.2500  4 Se 3.00-3.26, 2 Ac 3.13
Se 0.8262 0.1738 0.7500  4 Se 3.00-3.26, 2 Ac 3.13
Ac 0.6667 0.3333 0.2500  6 Se 3.13
Se 0.6525 0.8262 0.2500  4 Se 3.00-3.26, 2 Ac 3.13
Se 0.8262 0.6525 0.7500  4 Se 3.00-3.26, 2 Ac 3.13
Se 0.1738 0.3475 0.2500  4 Se 3.00-3.26, 2 Ac 3.13
Ac 0.3333 0.6667 0.7500  6 Se 3.13
Se 0.3475 0.1738 0.7500  4 Se 3.00-3.26, 2 Ac 3.13